Entry 1:
Here is a relaxed structure of LaBeIn2 from Alexandria via LeMat-Bulk. Energies are from PBE-GGA.

Computed properties:
Energy of formation from the pure elements = -0.1568 eV per atom
Space-group type = R-3m

a = 4.4049 Å, b = 4.4049 Å, c = 6.3872 Å
α = 69.82°, β = 69.82°, γ = 60.05°
With the nearest neighbours (Å) after each atom.
Atoms (fractional coordinates):
La  0.7500  0.7500  0.7500  6 In 3.28
In  0.9658  0.9658  0.1026  3 Be 2.69
Be  0.2500  0.2500  0.2500  6 In 2.69
In  0.5342  0.5342  0.3974  3 Be 2.69

---

Entry 2:
Here is a relaxed structure of SiAuCl2 from Alexandria via LeMat-Bulk. Energies are from PBE-GGA.

Computed properties:
Offset from the most stable computed form = 0 meV/atom
Space-group type = Pm

a = 3.4934 Å, b = 5.9101 Å, c = 6.9945 Å
α = 56.12°, β = 90.00°, γ = 90.00°
With the nearest neighbours (Å) after each atom.
Atoms (fractional coordinates):
Si  0.0000  0.4338  0.5924  1 Cl 2.07
Cl  0.0000  0.1029  0.9323  1 Si 2.07
Cl  0.5000  0.2151  0.4512  1 Au 2.51, 2 Si 2.67
Au  0.5000  0.7482  0.5241  2 Si 2.40, 1 Cl 2.51